Here is a geometry-optimized YAlFeOs structure from OQMD. Energies are from GGA-PBE.

Summary:
Offset from the most stable computed form (meV per atom): 0.0

Unit cell a=4.5256 b=4.5256 c=4.5256 alpha=60.00 beta=60.00 gamma=60.00
With the nearest neighbours (Å) after each atom.
Fractional positions:
Al: 0.0000 0.0000 0.0000  4 Fe 2.77, 4 Os 2.77
Fe: 0.7500 0.7500 0.7500  4 Y 2.77, 4 Al 2.77
Os: 0.2500 0.2500 0.2500  4 Y 2.77, 4 Al 2.77
Y: 0.5000 0.5000 0.5000  4 Os 2.77, 4 Fe 2.77